No. 1
## Si2RuAu (PBE)

Data for an optimized crystal structure of Si2RuAu.

Electronic total energy: -5.72 eV per atom
Fermi-level density of states: 3.75 states/eV/f.u.

a b c (Å): 4.592 4.592 4.592
angles (deg): 128.11 128.11 76.45
Atoms (fractional coordinates):
Au 0.250 0.750 0.500
Ru 0.750 0.250 0.500
Si 0.000 0.000 0.000
Si 0.500 0.500 0.000

=====

No. 2
## RbCr2H2 (PBE)

Data for an optimized crystal structure of RbCr2H2.

Electronic total energy: -4.89 eV per atom
Fermi-level density of states: 3.90 states/eV/f.u.

a b c (Å): 3.321 3.321 6.860
angles (deg): 75.99 75.99 90.00
Atoms (fractional coordinates):
Cr 0.750 0.250 0.500
Cr 0.250 0.750 0.500
Rb 0.000 0.000 0.000
H 0.325 0.325 0.350
H 0.675 0.675 0.650

=====

Number 1: offset from the most stable computed form 328.7 meV per atom. Number 2: offset from the most stable computed form 0.0 meV per atom.